Entry from Alexandria: a geometry-optimized ZnPHCl2 structure (PBE).

Lattice parameters (Å, degrees): 4.971 4.971 4.742 90.00 90.00 90.00
Fractional positions:
Zn  0.000  0.000  0.000
P  0.000  0.000  0.500
H  0.500  0.500  0.500
Cl  0.000  0.500  0.000
Cl  0.500  0.000  0.000

Summary:
Excess energy over the best structure of this formula in the dataset in meV per atom: 173
Fermi-level density of states in states/eV/cell: 3.30
SG: P4/mmm (123)

***

Entry from Alexandria: a geometry-optimized CsNbO3 structure (PBE).

Lattice parameters (Å, degrees): 5.200 16.186 9.451 90.00 93.08 90.00
Fractional positions:
Cs  0.095  0.243  0.210
Cs  0.095  0.257  0.710
Cs  0.384  0.606  0.010
Cs  0.384  0.894  0.510
Cs  0.616  0.106  0.490
Cs  0.616  0.394  0.990
Cs  0.905  0.743  0.290
Cs  0.905  0.757  0.790
Nb  0.026  0.503  0.316
Nb  0.026  0.997  0.816
Nb  0.464  0.605  0.551
Nb  0.464  0.895  0.051
Nb  0.536  0.105  0.949
Nb  0.536  0.395  0.449
Nb  0.974  0.003  0.184
Nb  0.974  0.497  0.684
O  0.107  0.046  0.350
O  0.107  0.454  0.850
O  0.179  0.607  0.676
O  0.179  0.893  0.176
O  0.247  0.601  0.372
O  0.247  0.899  0.872
O  0.249  0.037  0.041
O  0.249  0.463  0.541
O  0.316  0.066  0.768
O  0.316  0.434  0.268
O  0.437  0.213  0.957
O  0.437  0.287  0.457
O  0.563  0.713  0.543
O  0.563  0.787  0.043
O  0.684  0.566  0.732
O  0.684  0.934  0.232
O  0.751  0.537  0.459
O  0.751  0.963  0.959
O  0.753  0.101  0.128
O  0.753  0.399  0.628
O  0.821  0.107  0.824
O  0.821  0.393  0.324
O  0.893  0.546  0.150
O  0.893  0.954  0.650

Summary:
Fermi-level density of states in states/eV/cell: 0.00
Formation energy (no corrections) in eV/atom: -2.431
SG: P2_1/c (14)

***

Entry from Alexandria: a geometry-optimized PaCr8C6 structure (PBE).

Lattice parameters (Å, degrees): 5.945 5.945 10.954 90.00 90.00 120.00
Fractional positions:
Pa  0.000  0.000  0.000
Pa  0.000  0.000  0.500
Cr  0.000  0.310  0.260
Cr  0.000  0.449  0.608
Cr  0.000  0.551  0.108
Cr  0.000  0.690  0.760
Cr  0.310  0.000  0.260
Cr  0.310  0.310  0.760
Cr  0.333  0.667  0.411
Cr  0.333  0.667  0.911
Cr  0.449  0.000  0.608
Cr  0.449  0.449  0.108
Cr  0.551  0.000  0.108
Cr  0.551  0.551  0.608
Cr  0.667  0.333  0.411
Cr  0.667  0.333  0.911
Cr  0.690  0.000  0.760
Cr  0.690  0.690  0.260
C  0.000  0.000  0.233
C  0.000  0.000  0.733
C  0.000  0.379  0.433
C  0.000  0.621  0.933
C  0.333  0.667  0.221
C  0.333  0.667  0.721
C  0.379  0.000  0.433
C  0.379  0.379  0.933
C  0.621  0.000  0.933
C  0.621  0.621  0.433
C  0.667  0.333  0.221
C  0.667  0.333  0.721

Summary:
Fermi-level density of states in states/eV/cell: 30.81
Energy of formation from the pure elements in kJ/mol of formula units: 156
SG: P6_3cm (185)

***

Entry from Alexandria: a geometry-optimized TcIr4Au structure (PBE).

Lattice parameters (Å, degrees): 5.158 5.158 5.158 60.00 60.00 60.00
Fractional positions:
Tc  0.000  0.000  0.000
Ir  0.375  0.375  0.375
Ir  0.375  0.375  0.875
Ir  0.375  0.875  0.375
Ir  0.875  0.375  0.375
Au  0.750  0.750  0.750

Summary:
Fermi-level density of states in states/eV/cell: 9.72
Energy of formation from the pure elements in kJ/mol of formula units: 333
SG: F-43m (216)

***

Entry from Alexandria: a geometry-optimized CuPtS structure (PBE).

Lattice parameters (Å, degrees): 4.589 3.457 6.371 90.00 103.87 90.00
Fractional positions:
Cu  0.126  0.000  0.273
Cu  0.874  0.000  0.727
Pt  0.500  0.000  0.000
Pt  0.500  0.500  0.500
S  0.247  0.500  0.771
S  0.753  0.500  0.229

Summary:
Excess energy over the best structure of this formula in the dataset in meV per atom: 65
Fermi-level density of states in states/eV/cell: 1.05
Formation energy (no corrections) in eV/atom: -0.116
SG: P2/m (10)

***

Entry from Alexandria: a geometry-optimized Tb2ScSi4Pt3 structure (PBE).

Lattice parameters (Å, degrees): 4.142 4.142 10.658 90.00 90.00 90.00
Fractional positions:
Tb  0.000  0.500  0.240
Tb  0.500  0.000  0.760
Sc  0.000  0.000  0.500
Si  0.000  0.000  0.000
Si  0.000  0.500  0.654
Si  0.500  0.000  0.346
Si  0.500  0.500  0.000
Pt  0.000  0.500  0.881
Pt  0.500  0.000  0.119
Pt  0.500  0.500  0.500

Summary:
Fermi-level density of states in states/eV/cell: 3.96
Formation energy (no corrections) in eV/atom: -1.042
SG: P-4m2 (115)

***

Entry from Alexandria: a geometry-optimized AcThRh2 structure (PBE).

Lattice parameters (Å, degrees): 7.300 7.300 7.300 33.24 33.24 33.24
Fractional positions:
Ac  0.000  0.000  0.000
Th  0.500  0.500  0.500
Rh  0.242  0.242  0.242
Rh  0.758  0.758  0.758

Summary:
Excess energy over the best structure of this formula in the dataset in meV per atom: 25
Fermi-level density of states in states/eV/cell: 3.26
Energy of formation from the pure elements in kJ/mol of formula units: -296
SG: R-3m (166)

***

Entry from Alexandria: a geometry-optimized NaAg2HgCl6 structure (PBE).

Lattice parameters (Å, degrees): 9.369 9.369 7.421 99.47 99.47 86.95
Fractional positions:
Na  0.091  0.909  0.750
Na  0.909  0.091  0.250
Ag  0.246  0.333  0.793
Ag  0.333  0.246  0.293
Ag  0.667  0.754  0.707
Ag  0.754  0.667  0.207
Hg  0.234  0.766  0.250
Hg  0.766  0.234  0.750
Cl  0.045  0.189  0.616
Cl  0.142  0.655  0.946
Cl  0.189  0.045  0.116
Cl  0.345  0.858  0.554
Cl  0.369  0.426  0.564
Cl  0.426  0.369  0.064
Cl  0.574  0.631  0.936
Cl  0.631  0.574  0.436
Cl  0.655  0.142  0.446
Cl  0.811  0.955  0.884
Cl  0.858  0.345  0.054
Cl  0.955  0.811  0.384

Summary:
Fermi-level density of states in states/eV/cell: 9.88
Formation energy (no corrections) in eV/atom: -0.675
SG: C2/c (15)

***

Entry from Alexandria: a geometry-optimized RbCa2Ga structure (PBE).

Lattice parameters (Å, degrees): 12.484 12.484 12.484 19.06 19.06 19.06
Fractional positions:
Rb  0.000  0.000  0.000
Ca  0.115  0.115  0.115
Ca  0.885  0.885  0.885
Ga  0.500  0.500  0.500

Summary:
Fermi-level density of states in states/eV/cell: 2.71
Energy of formation from the pure elements in kJ/mol of formula units: -1
SG: R-3m (166)

***

Entry from Alexandria: a geometry-optimized ZrTlSb2 structure (PBE).

Lattice parameters (Å, degrees): 5.261 5.261 3.849 90.17 90.17 106.08
Fractional positions:
Zr  0.000  0.000  0.000
Tl  0.500  0.500  0.000
Sb  0.000  0.500  0.500
Sb  0.500  0.000  0.500

Summary:
Excess energy over the best structure of this formula in the dataset in meV per atom: 207
Fermi-level density of states in states/eV/cell: 2.13
Formation energy (no corrections) in eV/atom: -0.074
SG: C2/m (12)

***

Entry from Alexandria: a geometry-optimized Mg2CuW structure (PBE).

Lattice parameters (Å, degrees): 2.828 4.002 5.866 90.00 90.00 90.00
Fractional positions:
Mg  0.000  0.000  0.000
Mg  0.500  0.500  0.278
Cu  0.500  0.500  0.743
W  0.000  0.000  0.528

Summary:
Excess energy over the best structure of this formula in the dataset in meV per atom: 201
Fermi-level density of states in states/eV/cell: 2.79
Energy of formation from the pure elements in kJ/mol of formula units: 164
SG: Pmm2 (25)

***

Entry from Alexandria: a geometry-optimized NaPbAu2 structure (PBE).

Lattice parameters (Å, degrees): 4.715 4.715 4.017 90.00 90.00 90.00
Fractional positions:
Na  0.000  0.000  0.000
Pb  0.500  0.500  0.000
Au  0.000  0.500  0.500
Au  0.500  0.000  0.500

Summary:
Fermi-level density of states in states/eV/cell: 2.00
Energy of formation from the pure elements in kJ/mol of formula units: -70
SG: P4/mmm (123)

***

Entry from Alexandria: a geometry-optimized BaCa2As structure (PBE).

Lattice parameters (Å, degrees): 5.016 5.012 5.330 90.00 90.22 90.00
Fractional positions:
Ba  0.000  0.000  0.000
Ca  0.000  0.500  0.500
Ca  0.500  0.000  0.500
As  0.500  0.500  0.000

Summary:
Fermi-level density of states in states/eV/cell: 3.12
Energy of formation from the pure elements in kJ/mol of formula units: -147
SG: P2/m (10)

***

Entry from Alexandria: a geometry-optimized SrMgZr structure (PBE).

Lattice parameters (Å, degrees): 3.427 3.427 8.566 90.00 90.00 120.00
Fractional positions:
Sr  0.000  0.000  0.000
Mg  0.333  0.667  0.644
Zr  0.667  0.333  0.351

Summary:
Excess energy over the best structure of this formula in the dataset in meV per atom: 235
Fermi-level density of states in states/eV/cell: 3.97
Energy of formation from the pure elements in kJ/mol of formula units: 111
SG: P3m1 (156)

***

Entry from Alexandria: a geometry-optimized CsRbZnHSe structure (PBE).

Lattice parameters (Å, degrees): 5.617 4.539 7.832 90.00 107.78 90.00
Fractional positions:
Cs  0.000  0.000  0.000
Rb  0.315  0.000  0.552
Zn  0.565  0.500  0.210
H  0.349  0.500  0.315
Se  0.467  0.500  0.893

Summary:
Excess energy over the best structure of this formula in the dataset in meV per atom: 62
Fermi-level density of states in states/eV/cell: 2.01
SG: Pm (6)

***

Entry from Alexandria: a geometry-optimized SrMnIr2 structure (PBE).

Lattice parameters (Å, degrees): 4.901 4.901 4.901 126.95 126.95 78.33
Fractional positions:
Sr  0.000  0.000  0.000
Mn  0.500  0.500  0.000
Ir  0.250  0.750  0.500
Ir  0.750  0.250  0.500

Summary:
Excess energy over the best structure of this formula in the dataset in meV per atom: 511
Fermi-level density of states in states/eV/cell: 4.12
Energy of formation from the pure elements in kJ/mol of formula units: 169
SG: I4/mmm (139)

***

Entry from Alexandria: a geometry-optimized CaOsS2N structure (PBE).

Lattice parameters (Å, degrees): 4.921 4.921 3.725 90.00 90.00 90.00
Fractional positions:
Ca  0.000  0.000  0.000
Os  0.500  0.500  0.500
S  0.000  0.500  0.500
S  0.500  0.000  0.500
N  0.500  0.500  0.000

Summary:
Excess energy over the best structure of this formula in the dataset in meV per atom: 0
Fermi-level density of states in states/eV/cell: 4.67
Formation energy (no corrections) in eV/atom: -0.426
SG: P4/mmm (123)

***

Entry from Alexandria: a geometry-optimized La2HoTm structure (PBE).

Lattice parameters (Å, degrees): 5.226 5.226 4.931 90.00 90.00 90.00
Fractional positions:
La  0.000  0.500  0.000
La  0.500  0.000  0.000
Ho  0.000  0.000  0.500
Tm  0.500  0.500  0.500

Summary:
Excess energy over the best structure of this formula in the dataset in meV per atom: 7
Fermi-level density of states in states/eV/cell: 6.07
Energy of formation from the pure elements in kJ/mol of formula units: 9
SG: P4/mmm (123)

***

Entry from Alexandria: a geometry-optimized Cu5Te structure (PBE).

Lattice parameters (Å, degrees): 3.159 3.159 8.746 90.00 90.00 90.00
Fractional positions:
Cu  0.000  0.000  0.000
Cu  0.000  0.000  0.286
Cu  0.000  0.000  0.714
Cu  0.500  0.500  0.145
Cu  0.500  0.500  0.855
Te  0.500  0.500  0.500

Summary:
Excess energy over the best structure of this formula in the dataset in meV per atom: 103
Fermi-level density of states in states/eV/cell: 3.16
Formation energy (no corrections) in eV/atom: 0.201
SG: P4/mmm (123)

***

Entry from Alexandria: a geometry-optimized Li3BeW structure (PBE).

Lattice parameters (Å, degrees): 4.943 4.943 4.943 90.00 90.00 90.00
Fractional positions:
Li  0.000  0.000  0.500
Li  0.000  0.500  0.000
Li  0.500  0.000  0.000
Be  0.500  0.500  0.500
W  0.000  0.000  0.000

Summary:
Excess energy over the best structure of this formula in the dataset in meV per atom: 661
Fermi-level density of states in states/eV/cell: 2.97
Energy of formation from the pure elements in kJ/mol of formula units: 909
SG: Pm-3m (221)

***

Entry from Alexandria: a geometry-optimized Sc2Ge2Rh structure (PBE).

Lattice parameters (Å, degrees): 6.529 6.529 4.141 90.00 90.00 90.00
Fractional positions:
Sc  0.171  0.329  0.000
Sc  0.329  0.829  0.000
Sc  0.671  0.171  0.000
Sc  0.829  0.671  0.000
Ge  0.138  0.638  0.500
Ge  0.362  0.138  0.500
Ge  0.638  0.862  0.500
Ge  0.862  0.362  0.500
Rh  0.000  0.000  0.500
Rh  0.500  0.500  0.500

Summary:
Fermi-level density of states in states/eV/cell: 8.02
Energy of formation from the pure elements in kJ/mol of formula units: -445
SG: P4/mbm (127)

***

Entry from Alexandria: a geometry-optimized Sb2W structure (PBE).

Lattice parameters (Å, degrees): 5.043 5.043 2.990 90.00 90.00 120.00
Fractional positions:
Sb  0.333  0.667  0.159
Sb  0.667  0.333  0.841
W  0.000  0.000  0.000

Summary:
Excess energy over the best structure of this formula in the dataset in meV per atom: 508
Fermi-level density of states in states/eV/cell: 2.99
Formation energy (no corrections) in eV/atom: 0.787
SG: P-3m1 (164)

***

Entry from Alexandria: a geometry-optimized AlAsNF2 structure (PBE).

Lattice parameters (Å, degrees): 4.457 4.457 3.702 90.00 90.00 90.00
Fractional positions:
Al  0.000  0.000  0.000
As  0.500  0.500  0.500
N  0.500  0.500  0.000
F  0.000  0.500  0.500
F  0.500  0.000  0.500

Summary:
Excess energy over the best structure of this formula in the dataset in meV per atom: 803
Fermi-level density of states in states/eV/cell: 0.42
Formation energy (no corrections) in eV/atom: -0.372
SG: P4/mmm (123)

***

Entry from Alexandria: a geometry-optimized SbAsCl2 structure (PBE).

Lattice parameters (Å, degrees): 4.152 4.152 7.750 90.00 90.00 90.00
Fractional positions:
Sb  0.000  0.000  0.000
As  0.500  0.500  0.996
Cl  0.000  0.000  0.307
Cl  0.500  0.500  0.709

Summary:
Excess energy over the best structure of this formula in the dataset in meV per atom: 11
Fermi-level density of states in states/eV/cell: 0.46
Formation energy (no corrections) in eV/atom: -0.424
SG: P4mm (99)

***

Entry from Alexandria: a geometry-optimized Nb2VFe structure (PBE).

Lattice parameters (Å, degrees): 4.390 4.390 4.390 60.00 60.00 60.00
Fractional positions:
Nb  0.250  0.250  0.250
Nb  0.750  0.750  0.750
V  0.000  0.000  0.000
Fe  0.500  0.500  0.500

Summary:
Excess energy over the best structure of this formula in the dataset in meV per atom: 18
Fermi-level density of states in states/eV/cell: 3.23
Energy of formation from the pure elements in kJ/mol of formula units: -12
SG: Fm-3m (225)